(1)
# InGePt2, optimized geometry, DFT PBE
data_InGePt2
_chemical_formula_sum 'In3 Ge3 Pt6'
_symmetry_space_group_name_H-M 'R 3 m'
_symmetry_Int_Tables_number 160
_symmetry_space_group_name_Hall 'R 3 -2"'
_cell_length_a 4.1369
_cell_length_b 4.1369
_cell_length_c 15.1501
_cell_angle_alpha 90.00
_cell_angle_beta 90.00
_cell_angle_gamma 120.00
loop_
_atom_site_label
_atom_site_type_symbol
_atom_site_fract_x
_atom_site_fract_y
_atom_site_fract_z
In1 In 0.0000 0.0000 0.0000
Ge1 Ge 0.0000 0.0000 0.1832
Pt1 Pt 0.0000 0.0000 0.5672
Pt2 Pt 0.0000 0.0000 0.7755
# crystal system: trigonal
# calculated total energy: -5.177 eV per atom

=====

(2)
# AcSb2Au, optimized geometry, DFT PBE
data_AcSb2Au
_chemical_formula_sum 'Ac4 Sb8 Au4'
_symmetry_space_group_name_H-M 'I 4/m m m'
_symmetry_Int_Tables_number 139
_symmetry_space_group_name_Hall '-I 4 2'
_cell_length_a 4.5884
_cell_length_b 4.5884
_cell_length_c 21.6231
_cell_angle_alpha 90.00
_cell_angle_beta 90.00
_cell_angle_gamma 90.00
loop_
_atom_site_label
_atom_site_type_symbol
_atom_site_fract_x
_atom_site_fract_y
_atom_site_fract_z
Ac1 Ac 0.0000 0.0000 0.1230
Sb1 Sb 0.0000 0.0000 0.3311
Sb2 Sb 0.0000 0.5000 0.0000
Au1 Au 0.0000 0.5000 0.2500
# crystal system: tetragonal
# ΔE_f (raw): -2.911 eV per formula unit
# E above lowest polymorph: 0.004 eV per atom

=====

(3)
# La4TlBiN, optimized geometry, DFT PBE
data_La4TlBiN
_chemical_formula_sum 'La16 Tl4 Bi4 N4'
_symmetry_space_group_name_H-M 'C m c m'
_symmetry_Int_Tables_number 63
_symmetry_space_group_name_Hall '-C 2c 2'
_cell_length_a 7.1283
_cell_length_b 16.8621
_cell_length_c 7.1384
_cell_angle_alpha 90.00
_cell_angle_beta 90.00
_cell_angle_gamma 90.00
loop_
_atom_site_label
_atom_site_type_symbol
_atom_site_fract_x
_atom_site_fract_y
_atom_site_fract_z
La1 La 0.0000 0.0879 0.2500
La2 La 0.0000 0.4084 0.2500
La3 La 0.2500 0.2500 0.0000
Tl1 Tl 0.0000 0.1104 0.7500
Bi1 Bi 0.0000 0.3932 0.7500
N1 N 0.0000 0.2431 0.2500
# crystal system: orthorhombic
# ΔE_f (raw): -5.820 eV per formula unit

=====

(4)
# BaAsIr2Au, optimized geometry, DFT PBE
data_BaAsIr2Au
_chemical_formula_sum 'Ba1 As1 Ir2 Au1'
_symmetry_space_group_name_H-M 'P 4/m m m'
_symmetry_Int_Tables_number 123
_symmetry_space_group_name_Hall '-P 4 2'
_cell_length_a 5.1598
_cell_length_b 5.1598
_cell_length_c 5.6491
_cell_angle_alpha 90.00
_cell_angle_beta 90.00
_cell_angle_gamma 90.00
loop_
_atom_site_label
_atom_site_type_symbol
_atom_site_fract_x
_atom_site_fract_y
_atom_site_fract_z
Ba1 Ba 0.0000 0.0000 0.0000
As1 As 0.0000 0.0000 0.5000
Ir1 Ir 0.0000 0.5000 0.0000
Au1 Au 0.5000 0.5000 0.5000
# crystal system: tetragonal
# calculated total energy: -3.055 eV per atom